No. 1
Material: K2PaAu2O6
Method: DFT, GGA-PBE
State: optimized geometry

Unit cell a=11.974 b=5.747 c=7.860 alpha=90.00 beta=129.10 gamma=90.00
Space group C2/m (No. 12)
Asymmetric unit:
K 0.226 0.000 0.116 (multiplicity 4)
Pa 0.000 0.000 0.500 (multiplicity 2)
Au 0.102 0.500 0.274 (multiplicity 4)
O 0.020 0.261 0.709 (multiplicity 8)
O 0.240 0.000 0.742 (multiplicity 4)

Results
- density (g/cm³) = 6.324
- crystal system = monoclinic
- electronic total energy (eV per atom) = -5.85
- energy relative to the elements, uncorrected (eV per atom) = -1.487
- spin magnetization (μB/f.u.) = 0.0


No. 2
Material: K2PaAuO4
Method: DFT, GGA-PBE
State: optimized geometry

Unit cell a=6.532 b=6.532 c=7.512 alpha=90.00 beta=90.00 gamma=90.00
Space group I-4 (No. 82)
Asymmetric unit:
K 0.000 0.000 0.000 (multiplicity 2)
K 0.000 0.500 0.250 (multiplicity 2)
Pa 0.000 0.500 0.750 (multiplicity 2)
Au 0.000 0.000 0.500 (multiplicity 2)
O 0.167 0.306 0.586 (multiplicity 8)

Results
- density (g/cm³) = 5.909
- crystal system = tetragonal
- electronic total energy (eV per atom) = -6.20
- energy relative to the elements, uncorrected (eV per atom) = -1.855
- spin magnetization (μB/f.u.) = 0.0


No. 3
Material: KPaAuO5
Method: DFT, GGA-PBE
State: optimized geometry

Unit cell a=6.088 b=10.539 c=8.209 alpha=90.00 beta=103.01 gamma=90.00
Space group C2/c (No. 15)
Asymmetric unit:
K 0.000 0.182 0.250 (multiplicity 4)
Pa 0.000 0.500 0.000 (multiplicity 4)
Au 0.000 0.172 0.750 (multiplicity 4)
O 0.000 0.438 0.250 (multiplicity 4)
O 0.008 0.309 0.579 (multiplicity 8)
O 0.116 0.035 0.919 (multiplicity 8)

Results
- density (g/cm³) = 7.081
- crystal system = monoclinic
- electronic total energy (eV per atom) = -6.59
- energy relative to the elements, uncorrected (eV per atom) = -1.760
- spin magnetization (μB/f.u.) = 1.0


No. 4
Material: K2PbAuO4
Method: DFT, GGA-PBE
State: optimized geometry

Unit cell a=6.399 b=6.399 c=7.078 alpha=90.00 beta=90.00 gamma=90.00
Space group I-4 (No. 82)
Asymmetric unit:
K 0.000 0.000 0.000 (multiplicity 2)
K 0.000 0.500 0.250 (multiplicity 2)
Pb 0.000 0.500 0.750 (multiplicity 2)
Au 0.000 0.000 0.500 (multiplicity 2)
O 0.160 0.728 0.537 (multiplicity 8)

Results
- density (g/cm³) = 6.261
- crystal system = tetragonal
- electronic total energy (eV per atom) = -4.52
- energy relative to the elements, uncorrected (eV per atom) = -0.890
- spin magnetization (μB/f.u.) = 0.6


No. 5
Material: KPbAuO4
Method: DFT, GGA-PBE
State: optimized geometry

Unit cell a=6.240 b=6.578 c=12.073 alpha=90.00 beta=90.00 gamma=90.00
Space group Imma (No. 74)
Asymmetric unit:
K 0.000 0.250 0.157 (multiplicity 4)
Pb 0.000 0.000 0.500 (multiplicity 4)
Au 0.250 0.250 0.750 (multiplicity 4)
O 0.000 0.057 0.706 (multiplicity 8)
O 0.224 0.250 0.491 (multiplicity 8)

Results
- density (g/cm³) = 6.799
- crystal system = orthorhombic
- electronic total energy (eV per atom) = -4.72
- energy relative to the elements, uncorrected (eV per atom) = -0.731
- spin magnetization (μB/f.u.) = 0.0


No. 6
Material: K2PdAuO4
Method: DFT, GGA-PBE
State: optimized geometry

Unit cell a=6.577 b=6.577 c=6.711 alpha=90.00 beta=90.00 gamma=90.00
Space group I-42m (No. 121)
Asymmetric unit:
K 0.000 0.500 0.000 (multiplicity 4)
Pd 0.000 0.000 0.000 (multiplicity 2)
Au 0.000 0.000 0.500 (multiplicity 2)
O 0.133 0.133 0.226 (multiplicity 8)

Results
- density (g/cm³) = 5.097
- crystal system = tetragonal
- electronic total energy (eV per atom) = -4.21
- energy relative to the elements, uncorrected (eV per atom) = -0.402
- spin magnetization (μB/f.u.) = 1.0